A PBEsol-optimized structure of Fe3Co, computed with meta-GGA SCAN.

**Fermi-level density of states**: 5.06 states/eV per cell
**Calculated total energy**: -17.9683 eV/atom
**V**: 86.2 Å³/cell
**Formation energy**: -4.3 kJ per mole of atoms

Structure (POSCAR):
```
Fe3Co
1.0
1.390 -1.969 0.000
1.390 1.969 0.000
0.000 0.000 15.748
Fe Co
6 2
Direct
0.250 0.750 0.187
0.250 0.750 0.687
0.250 0.750 0.938
0.750 0.250 0.062
0.750 0.250 0.313
0.750 0.250 0.813
0.250 0.750 0.438
0.750 0.250 0.562
```